Li6Mg3Cd2: optimized geometry, PBE-GGA.

a b c (Å): 5.5069 6.5296 7.2913
angles (deg): 103.66 112.09 101.34
Closest atoms and distances in Å follow each position.
Fractional coordinates of all 11 atoms:
Li 0.1155 0.2385 0.1707  2 Cd 2.77-2.87, 2 Li 2.77-2.86, 3 Mg 2.93-3.05
Li 0.2312 0.1878 0.6154  2 Li 2.77-2.78, 3 Cd 2.82-3.06, 1 Mg 3.08
Li 0.2322 0.5110 0.9402  5 Li 2.77-2.99, 2 Cd 2.88-2.91, 1 Mg 3.09
Li 0.7678 0.4890 0.0598  5 Li 2.77-2.99, 2 Cd 2.88-2.91, 1 Mg 3.09
Li 0.7688 0.8122 0.3846  2 Li 2.77-2.78, 3 Cd 2.82-3.06, 1 Mg 3.08
Li 0.8845 0.7615 0.8293  2 Cd 2.77-2.87, 2 Li 2.77-2.86, 3 Mg 2.93-3.05
Mg 0.2914 0.6443 0.5574  1 Cd 2.86, 4 Li 2.93-3.20, 2 Mg 3.07-3.12
Mg 0.5000 0.0000 0.0000  2 Cd 2.94, 8 Li 3.05-3.29, 2 Mg 3.12
Mg 0.7086 0.3557 0.4426  1 Cd 2.86, 4 Li 2.93-3.20, 2 Mg 3.07-3.12
Cd 0.2489 0.8778 0.2665  7 Li 2.77-3.06, 2 Mg 2.86-2.94
Cd 0.7511 0.1222 0.7335  7 Li 2.77-3.06, 2 Mg 2.86-2.94

Output
SG: No. 2
DFT formation energy (eV/atom): -0.086